[1]
Compound: Pa2Sb3Pd
Source: Alexandria
Functional: GGA-PBE
Structure: optimized geometry

Values from the calculation:
Its crystal system is orthorhombic. For the uncorrected formation energy, the calculation gives -156 kJ/mol of formula units. The value obtained for the volume is 324 Å³/cell.

```
data_Pa2Sb3Pd
_space_group_name_H-M_alt 'I m m m'
_space_group_IT_number 71
_space_group_name_Hall '-I 2 2'
_cell_length_a 4.389
_cell_length_b 6.099
_cell_length_c 12.112
_cell_angle_alpha 90.00
_cell_angle_beta 90.00
_cell_angle_gamma 90.00
loop_
_atom_site_label
_atom_site_fract_x
_atom_site_fract_y
_atom_site_fract_z
_atom_site_occupancy
Pa1 0.000 0.000 0.180 1
Sb1 0.000 0.500 0.143 1
Sb2 0.000 0.500 0.500 1
Pd1 0.000 0.000 0.500 1
```

***

[2]
Compound: Pa2SbPd5
Source: Alexandria
Functional: GGA-PBE
Structure: optimized geometry

Values from the calculation:
Its crystal system is tetragonal. For the uncorrected formation energy, the calculation gives -366 kJ/mol of formula units. The value obtained for the volume is 313 Å³/cell.

```
data_Pa2SbPd5
_space_group_name_H-M_alt 'I 4 m m'
_space_group_IT_number 107
_space_group_name_Hall 'I 4 -2'
_cell_length_a 6.412
_cell_length_b 6.412
_cell_length_c 7.607
_cell_angle_alpha 90.00
_cell_angle_beta 90.00
_cell_angle_gamma 90.00
loop_
_atom_site_label
_atom_site_fract_x
_atom_site_fract_y
_atom_site_fract_z
_atom_site_occupancy
Pa1 0.000 0.500 0.000 1
Sb1 0.000 0.000 0.391 1
Pd1 0.000 0.000 0.031 1
Pd2 0.215 0.215 0.743 1
```

***

[3]
Compound: Pa2Sb2Pd
Source: Alexandria
Functional: GGA-PBE
Structure: optimized geometry

Values from the calculation:
Its crystal system is orthorhombic. For the uncorrected formation energy, the calculation gives -231 kJ/mol of formula units. The value obtained for the volume is 496 Å³/cell.

```
data_Pa2Sb2Pd
_space_group_name_H-M_alt 'C m c 21'
_space_group_IT_number 36
_cell_length_a 4.924
_cell_length_b 15.622
_cell_length_c 6.446
_cell_angle_alpha 90.00
_cell_angle_beta 90.00
_cell_angle_gamma 90.00
loop_
_space_group_symop_operation_xyz
'x,y,z'
'-x,-y,z+1/2'
'-x,y,z'
'x,-y,z+1/2'
'x+1/2,y+1/2,z'
'-x+1/2,-y+1/2,z+1/2'
'-x+1/2,y+1/2,z'
'x+1/2,-y+1/2,z+1/2'
loop_
_atom_site_label
_atom_site_fract_x
_atom_site_fract_y
_atom_site_fract_z
_atom_site_occupancy
Pa1 0.000 0.003 0.000 1
Pa2 0.000 0.195 0.776 1
Sb1 0.000 0.175 0.278 1
Sb2 0.000 0.424 0.226 1
Pd1 0.000 0.394 0.645 1
```

***

[4]
Compound: Pa2SbPd4
Source: Alexandria
Functional: GGA-PBE
Structure: optimized geometry

Values from the calculation:
Its crystal system is orthorhombic. For the uncorrected formation energy, the calculation gives 26 kJ/mol of formula units. The value obtained for the volume is 326 Å³/cell.

```
data_Pa2SbPd4
_space_group_name_H-M_alt 'C m m m'
_space_group_IT_number 65
_space_group_name_Hall '-C 2 2'
_cell_length_a 5.414
_cell_length_b 11.338
_cell_length_c 5.313
_cell_angle_alpha 90.00
_cell_angle_beta 90.00
_cell_angle_gamma 90.00
loop_
_atom_site_label
_atom_site_fract_x
_atom_site_fract_y
_atom_site_fract_z
_atom_site_occupancy
Pa1 0.000 0.138 0.000 1
Sb1 0.000 0.500 0.500 1
Pd1 0.000 0.119 0.500 1
Pd2 0.000 0.382 0.000 1
```

***

[5]
Compound: Pa2Sb3Pd4
Source: Alexandria
Functional: GGA-PBE
Structure: optimized geometry

Values from the calculation:
Its crystal system is monoclinic. For the uncorrected formation energy, the calculation gives -496 kJ/mol of formula units. The value obtained for the volume is 400 Å³/cell.

```
data_Pa2Sb3Pd4
_space_group_name_H-M_alt 'C 1 2/m 1'
_space_group_IT_number 12
_cell_length_a 8.128
_cell_length_b 4.581
_cell_length_c 10.783
_cell_angle_alpha 90.00
_cell_angle_beta 94.70
_cell_angle_gamma 90.00
loop_
_space_group_symop_operation_xyz
'x,y,z'
'-x,-y,-z'
'-x,y,-z'
'x,-y,z'
'x+1/2,y+1/2,z'
'-x+1/2,-y+1/2,-z'
'-x+1/2,y+1/2,-z'
'x+1/2,-y+1/2,z'
loop_
_atom_site_label
_atom_site_fract_x
_atom_site_fract_y
_atom_site_fract_z
_atom_site_occupancy
Pa1 0.182 0.000 0.203 1
Sb1 0.000 0.500 0.000 1
Sb2 0.130 0.000 0.637 1
Pd1 0.041 0.500 0.367 1
Pd2 0.160 0.000 0.908 1
```

***

[6]
Compound: PaSbPd
Source: Alexandria
Functional: GGA-PBE
Structure: optimized geometry

Values from the calculation:
Its crystal system is tetragonal. For the uncorrected formation energy, the calculation gives -163 kJ/mol of formula units. The value obtained for the volume is 142 Å³/cell.

```
data_PaSbPd
_space_group_name_H-M_alt 'P 4/n m m'
_space_group_IT_number 129
_cell_length_a 4.570
_cell_length_b 4.570
_cell_length_c 6.790
_cell_angle_alpha 90.00
_cell_angle_beta 90.00
_cell_angle_gamma 90.00
loop_
_space_group_symop_operation_xyz
'x,y,z'
'-x,-y,-z'
'-y+1/2,x,z'
'y+1/2,-x,-z'
'-x+1/2,-y+1/2,z'
'x+1/2,y+1/2,-z'
'y,-x+1/2,z'
'-y,x+1/2,-z'
'x+1/2,-y,-z'
'-x+1/2,y,z'
'-y,-x,-z'
'y,x,z'
'-x,y+1/2,-z'
'x,-y+1/2,z'
'y+1/2,x+1/2,-z'
'-y+1/2,-x+1/2,z'
loop_
_atom_site_label
_atom_site_fract_x
_atom_site_fract_y
_atom_site_fract_z
_atom_site_occupancy
Pa1 0.250 0.250 0.221 1
Sb1 0.250 0.250 0.766 1
Pd1 0.250 0.750 0.500 1
```

***

[7]
Compound: PaSb3Pd3
Source: Alexandria
Functional: GGA-PBE
Structure: optimized geometry

Values from the calculation:
Its crystal system is trigonal. For the uncorrected formation energy, the calculation gives -291 kJ/mol of formula units. The value obtained for the volume is 1012 Å³/cell.

```
data_PaSb3Pd3
_space_group_name_H-M_alt 'R -3'
_space_group_IT_number 148
_space_group_name_Hall '-R 3'
_cell_length_a 8.1634
_cell_length_b 8.1634
_cell_length_c 17.5414
_cell_angle_alpha 90.00
_cell_angle_beta 90.00
_cell_angle_gamma 120.00
loop_
_atom_site_label
_atom_site_fract_x
_atom_site_fract_y
_atom_site_fract_z
_atom_site_occupancy
Pa1 0.0000 0.0000 0.1672 1
Sb1 0.0036 0.6903 0.5894 1
Pd1 0.0054 0.6491 0.4167 1
```

***

[8]
Compound: PaSbPd14
Source: Alexandria
Functional: GGA-PBE
Structure: optimized geometry

Values from the calculation:
Its crystal system is tetragonal. For the uncorrected formation energy, the calculation gives -551 kJ/mol of formula units. The value obtained for the volume is 261 Å³/cell.

```
data_PaSbPd14
_space_group_name_H-M_alt 'P 4/m m m'
_space_group_IT_number 123
_space_group_name_Hall '-P 4 2'
_cell_length_a 5.790
_cell_length_b 5.790
_cell_length_c 7.779
_cell_angle_alpha 90.00
_cell_angle_beta 90.00
_cell_angle_gamma 90.00
loop_
_atom_site_label
_atom_site_fract_x
_atom_site_fract_y
_atom_site_fract_z
_atom_site_occupancy
Pa1 0.000 0.000 0.000 1
Sb1 0.500 0.500 0.000 1
Pd1 0.000 0.000 0.500 1
Pd2 0.000 0.500 0.000 1
Pd3 0.000 0.500 0.500 1
Pd4 0.250 0.250 0.251 1
Pd5 0.500 0.500 0.500 1
```